No. 1
Entry from OQMD via LeMat-Bulk: a relaxed HoZnNi crystal (PBE).

symmetry = F-43m (216)
calculated density = 8.16 Mg/m³
VASP energy = -12.3 eV/cell

The structure in POSCAR format:
```
HoZnNi
1.0
-1.5598 -1.3284 3.8548
-3.2969 -2.8573 0.1532
0.7159 -4.0884 1.3527
Ho Ni Zn
1 1 1
Cartesian
-1.0352 -2.0685 1.3402
0.0000 0.0000 0.0000
-3.1056 -6.2056 4.0205
```

=====

No. 2
Entry from OQMD via LeMat-Bulk: a relaxed HoZnNi crystal (PBE).

symmetry = Pnma (62)
calculated density = 9.10 Mg/m³
VASP energy = -51.4 eV/cell

The structure in POSCAR format:
```
HoZnNi
1.0
-0.7866 1.8656 -6.4451
-1.2346 -3.6223 -0.8979
-7.4843 2.1688 1.5412
Ho Ni Zn
4 4 4
Cartesian
-2.0570 0.3526 -2.8966
-3.4177 1.5658 -5.9199
-6.0877 -1.1537 0.1181
-7.4485 0.0595 -2.9052
-2.4499 -1.0364 -5.3568
-3.9406 -1.4233 -1.7463
-5.5648 1.8354 -4.0554
-7.0555 1.4485 -0.4449
-1.4912 -2.3253 -1.4753
-4.7148 -0.5723 -4.1150
-4.7907 0.9844 -1.6867
-8.0143 2.7374 -4.3265
```

=====

- Look up the VASP energy of the first one.
  -12.3 eV/cell

=====

- What is the calculated density in the first record?
  8.16 Mg/m³

=====

What did the first record say?
Entry from OQMD via LeMat-Bulk: a relaxed HoZnNi crystal (PBE).

symmetry = F-43m (216)
calculated density = 8.16 Mg/m³
VASP energy = -12.3 eV/cell

The structure in POSCAR format:
```
HoZnNi
1.0
-1.5598 -1.3284 3.8548
-3.2969 -2.8573 0.1532
0.7159 -4.0884 1.3527
Ho Ni Zn
1 1 1
Cartesian
-1.0352 -2.0685 1.3402
0.0000 0.0000 0.0000
-3.1056 -6.2056 4.0205
```

=====

- Look up the VASP energy of the first one.
  -12.3 eV/cell